First-principles (PBE) data for Ca2GaSn after structural relaxation, as listed in Alexandria via LeMat-Bulk.

Excess energy over the best structure of this formula in the dataset: 0 meV/atom
Formation enthalpy at 0 K: -0.5877 eV per atom
Final energy: -3.346 eV per atom

Structure (CIF):
```
data_Ca2GaSn
_cell_length_a 4.380
_cell_length_b 4.600
_cell_length_c 11.404
_cell_angle_alpha 90.00
_cell_angle_beta 90.00
_cell_angle_gamma 90.00
_symmetry_space_group_name_H-M 'A m m 2'
_symmetry_Int_Tables_number 38
_symmetry_space_group_name_Hall 'A 2 -2'
loop_
_atom_site_label
_atom_site_type_symbol
_atom_site_fract_x
_atom_site_fract_y
_atom_site_fract_z
Ca1 Ca 0.000 0.000 0.000
Ca2 Ca 0.500 0.000 0.278
Ga1 Ga 0.500 0.000 0.559
Sn1 Sn 0.000 0.000 0.712
```

***

First-principles (PBE) data for Ca3GaSn2 after structural relaxation, as listed in Alexandria via LeMat-Bulk.

Excess energy over the best structure of this formula in the dataset: 96 meV/atom
Formation enthalpy at 0 K: -0.4741 eV per atom
Final energy: -3.314 eV per atom

Structure (CIF):
```
data_Ca3GaSn2
_cell_length_a 6.601
_cell_length_b 15.801
_cell_length_c 6.873
_cell_angle_alpha 90.00
_cell_angle_beta 90.00
_cell_angle_gamma 90.00
_symmetry_space_group_name_H-M 'I b a m'
_symmetry_Int_Tables_number 72
_symmetry_space_group_name_Hall '-I 2 2c'
loop_
_atom_site_label
_atom_site_type_symbol
_atom_site_fract_x
_atom_site_fract_y
_atom_site_fract_z
Ca1 Ca 0.000 0.000 0.250
Ca2 Ca 0.232 0.327 0.000
Ga1 Ga 0.000 0.500 0.250
Sn1 Sn 0.240 0.377 0.500
```